Entry 1:
Zr4Tl: relaxed, PBEsol.

a b c (Å): 7.1933 7.1933 4.2290
angles (deg): 90.00 90.00 90.00
Closest atoms and distances in Å follow each position.
Element x y z (fractional)
Zr 0.1112 0.6932 0.0000  9 Zr 3.02-3.32, 3 Tl 3.12-3.16
Zr 0.1932 0.3888 0.5000  9 Zr 3.02-3.32, 3 Tl 3.12-3.16
Zr 0.3068 0.1112 0.0000  9 Zr 3.02-3.32, 3 Tl 3.12-3.16
Zr 0.3888 0.8068 0.5000  9 Zr 3.02-3.32, 3 Tl 3.12-3.16
Zr 0.6112 0.1932 0.5000  9 Zr 3.02-3.32, 3 Tl 3.12-3.16
Zr 0.6932 0.8888 0.0000  9 Zr 3.02-3.32, 3 Tl 3.12-3.16
Zr 0.8068 0.6112 0.5000  9 Zr 3.02-3.32, 3 Tl 3.12-3.16
Zr 0.8888 0.3068 0.0000  9 Zr 3.02-3.32, 3 Tl 3.12-3.16
Tl 0.0000 0.0000 0.5000  12 Zr 3.12-3.16
Tl 0.5000 0.5000 0.0000  12 Zr 3.12-3.16

Entry 2:
Zr4Tl5: relaxed, PBEsol.

a b c (Å): 7.3914 7.3914 7.3914
angles (deg): 94.26 94.26 148.37
Closest atoms and distances in Å follow each position.
Element x y z (fractional)
Zr 0.0000 0.3309 0.3309  7 Tl 3.10-3.33, 5 Zr 3.14-3.40
Zr 0.0000 0.6691 0.6691  7 Tl 3.10-3.33, 5 Zr 3.14-3.40
Zr 0.3309 0.0000 0.3309  7 Tl 3.10-3.33, 5 Zr 3.14-3.40
Zr 0.6691 0.0000 0.6691  7 Tl 3.10-3.33, 5 Zr 3.14-3.40
Tl 0.0000 0.0000 0.0000  8 Tl 3.17, 4 Zr 3.33
Tl 0.3277 0.3277 0.6553  4 Tl 2.99-3.17, 6 Zr 3.10-3.30
Tl 0.3277 0.6723 0.0000  4 Tl 2.99-3.17, 6 Zr 3.10-3.30
Tl 0.6723 0.3277 0.0000  4 Tl 2.99-3.17, 6 Zr 3.10-3.30
Tl 0.6723 0.6723 0.3447  4 Tl 2.99-3.17, 6 Zr 3.10-3.30

Entry 3:
ZrTl: relaxed, PBEsol.

a b c (Å): 6.4248 6.4248 6.4248
angles (deg): 90.00 90.00 90.00
Closest atoms and distances in Å follow each position.
Element x y z (fractional)
Zr 0.0000 0.0000 0.0000  4 Tl 2.78
Zr 0.0000 0.5000 0.5000  4 Tl 2.78
Zr 0.5000 0.0000 0.5000  4 Tl 2.78
Zr 0.5000 0.5000 0.0000  4 Tl 2.78
Tl 0.2500 0.2500 0.7500  4 Zr 2.78
Tl 0.2500 0.7500 0.2500  4 Zr 2.78
Tl 0.7500 0.2500 0.2500  4 Zr 2.78
Tl 0.7500 0.7500 0.7500  4 Zr 2.78

Entry 4:
Zr3Tl: relaxed, PBEsol.

a b c (Å): 5.5737 5.5737 5.5737
angles (deg): 90.00 90.00 90.00
Closest atoms and distances in Å follow each position.
Element x y z (fractional)
Zr 0.0000 0.2500 0.5000  2 Zr 2.79, 4 Tl 3.12
Zr 0.0000 0.7500 0.5000  2 Zr 2.79, 4 Tl 3.12
Zr 0.2500 0.5000 0.0000  2 Zr 2.79, 4 Tl 3.12
Zr 0.5000 0.0000 0.2500  2 Zr 2.79, 4 Tl 3.12
Zr 0.5000 0.0000 0.7500  2 Zr 2.79, 4 Tl 3.12
Zr 0.7500 0.5000 0.0000  2 Zr 2.79, 4 Tl 3.12
Tl 0.0000 0.0000 0.0000  12 Zr 3.12
Tl 0.5000 0.5000 0.5000  12 Zr 3.12

Entry 5:
Zr5Tl: relaxed, PBEsol.

a b c (Å): 3.1350 3.1350 13.5535
angles (deg): 90.00 90.00 90.00
Closest atoms and distances in Å follow each position.
Element x y z (fractional)
Zr 0.0000 0.0000 0.0000  12 Zr 3.13-3.14
Zr 0.0000 0.0000 0.3307  8 Zr 3.13-3.16, 4 Tl 3.19
Zr 0.0000 0.0000 0.6693  8 Zr 3.13-3.16, 4 Tl 3.19
Zr 0.5000 0.5000 0.1640  12 Zr 3.13-3.16
Zr 0.5000 0.5000 0.8360  12 Zr 3.13-3.16
Tl 0.5000 0.5000 0.5000  4 Tl 3.13, 8 Zr 3.19

Entry 6:
Zr3Tl: relaxed, PBEsol.

a b c (Å): 9.8749 9.8749 3.0999
angles (deg): 90.00 90.00 120.00
Closest atoms and distances in Å follow each position.
Element x y z (fractional)
Zr 0.0000 0.5000 0.0000  2 Tl 3.03, 6 Zr 3.03-3.10
Zr 0.1667 0.3333 0.3333  6 Zr 3.03-3.10, 2 Tl 3.03
Zr 0.1667 0.8333 0.3333  2 Tl 3.03, 6 Zr 3.03-3.10
Zr 0.3333 0.1667 0.6667  6 Zr 3.03-3.10, 2 Tl 3.03
Zr 0.5000 0.0000 0.0000  2 Tl 3.03, 6 Zr 3.03-3.10
Zr 0.5000 0.5000 0.0000  6 Zr 3.03-3.10, 2 Tl 3.03
Zr 0.6667 0.8333 0.3333  6 Zr 3.03-3.10, 2 Tl 3.03
Zr 0.8333 0.1667 0.6667  2 Tl 3.03, 6 Zr 3.03-3.10
Zr 0.8333 0.6667 0.6667  6 Zr 3.03-3.10, 2 Tl 3.03
Tl 0.0000 0.0000 0.0000  6 Zr 3.03, 2 Tl 3.10
Tl 0.3333 0.6667 0.6667  6 Zr 3.03, 2 Tl 3.10
Tl 0.6667 0.3333 0.3333  6 Zr 3.03, 2 Tl 3.10

Entry 7:
Zr3Tl2: relaxed, PBEsol.

a b c (Å): 3.2589 3.2589 37.2552
angles (deg): 90.00 90.00 120.00
Closest atoms and distances in Å follow each position.
Element x y z (fractional)
Zr 0.0000 0.0000 0.0000  6 Tl 3.12, 6 Zr 3.26
Zr 0.0000 0.0000 0.1989  9 Zr 3.05-3.26, 3 Tl 3.14
Zr 0.0000 0.0000 0.8011  9 Zr 3.05-3.26, 3 Tl 3.14
Zr 0.3333 0.6667 0.4677  9 Zr 3.05-3.26, 3 Tl 3.14
Zr 0.3333 0.6667 0.6667  6 Tl 3.12, 6 Zr 3.26
Zr 0.3333 0.6667 0.8656  9 Zr 3.05-3.26, 3 Tl 3.14
Zr 0.6667 0.3333 0.1344  9 Zr 3.05-3.26, 3 Tl 3.14
Zr 0.6667 0.3333 0.3333  6 Tl 3.12, 6 Zr 3.26
Zr 0.6667 0.3333 0.5323  9 Zr 3.05-3.26, 3 Tl 3.14
Tl 0.0000 0.0000 0.4002  6 Zr 3.12-3.14, 6 Tl 3.26
Tl 0.0000 0.0000 0.5998  6 Zr 3.12-3.14, 6 Tl 3.26
Tl 0.3333 0.6667 0.0668  6 Zr 3.12-3.14, 6 Tl 3.26
Tl 0.3333 0.6667 0.2665  6 Zr 3.12-3.14, 6 Tl 3.26
Tl 0.6667 0.3333 0.7335  6 Zr 3.12-3.14, 6 Tl 3.26
Tl 0.6667 0.3333 0.9332  6 Zr 3.12-3.14, 6 Tl 3.26

Entry 8:
ZrTl: relaxed, PBEsol.

a b c (Å): 4.2367 4.2367 9.9226
angles (deg): 90.00 90.00 90.00
Closest atoms and distances in Å follow each position.
Element x y z (fractional)
Zr 0.0000 0.2500 0.3750  8 Tl 3.00-3.26, 4 Zr 3.26
Zr 0.0000 0.7500 0.6250  8 Tl 3.00-3.26, 4 Zr 3.26
Zr 0.5000 0.2500 0.1250  8 Tl 3.00-3.26, 4 Zr 3.26
Zr 0.5000 0.7500 0.8750  8 Tl 3.00-3.26, 4 Zr 3.26
Tl 0.0000 0.2500 0.8750  8 Zr 3.00-3.26, 4 Tl 3.26
Tl 0.0000 0.7500 0.1250  8 Zr 3.00-3.26, 4 Tl 3.26
Tl 0.5000 0.2500 0.6250  8 Zr 3.00-3.26, 4 Tl 3.26
Tl 0.5000 0.7500 0.3750  8 Zr 3.00-3.26, 4 Tl 3.26

Entry 9:
ZrTl: relaxed, PBEsol.

a b c (Å): 11.5700 3.2800 5.2521
angles (deg): 90.00 116.44 90.00
Closest atoms and distances in Å follow each position.
Element x y z (fractional)
Zr 0.1261 0.0000 0.4390  7 Tl 3.07-3.24, 5 Zr 3.11-3.28
Zr 0.3739 0.5000 0.5610  7 Tl 3.07-3.24, 5 Zr 3.11-3.28
Zr 0.6261 0.5000 0.4390  7 Tl 3.07-3.24, 5 Zr 3.11-3.28
Zr 0.8739 0.0000 0.5610  7 Tl 3.07-3.24, 5 Zr 3.11-3.28
Tl 0.1246 0.5000 0.9435  7 Zr 3.07-3.24, 5 Tl 3.15-3.28
Tl 0.3754 0.0000 0.0565  7 Zr 3.07-3.24, 5 Tl 3.15-3.28
Tl 0.6246 0.0000 0.9435  7 Zr 3.07-3.24, 5 Tl 3.15-3.28
Tl 0.8754 0.5000 0.0565  7 Zr 3.07-3.24, 5 Tl 3.15-3.28

Entry 10:
Zr5Tl4: relaxed, PBEsol.

a b c (Å): 8.7721 8.7721 5.9404
angles (deg): 90.00 90.00 120.00
Closest atoms and distances in Å follow each position.
Element x y z (fractional)
Zr 0.0000 0.2913 0.2500  7 Tl 2.93-3.06
Zr 0.0000 0.7087 0.7500  7 Tl 2.93-3.06
Zr 0.2913 0.0000 0.2500  7 Tl 2.93-3.06
Zr 0.2913 0.2913 0.7500  7 Tl 2.93-3.06
Zr 0.3333 0.6667 0.0000  2 Zr 2.97, 6 Tl 3.14
Zr 0.3333 0.6667 0.5000  2 Zr 2.97, 6 Tl 3.14
Zr 0.6667 0.3333 0.0000  2 Zr 2.97, 6 Tl 3.14
Zr 0.6667 0.3333 0.5000  2 Zr 2.97, 6 Tl 3.14
Zr 0.7087 0.0000 0.7500  7 Tl 2.93-3.06
Zr 0.7087 0.7087 0.2500  7 Tl 2.93-3.06
Tl 0.0000 0.0000 0.0000  6 Zr 2.96, 2 Tl 2.97
Tl 0.0000 0.0000 0.5000  6 Zr 2.96, 2 Tl 2.97
Tl 0.0000 0.3746 0.7500  9 Zr 2.93-3.14
Tl 0.0000 0.6254 0.2500  9 Zr 2.93-3.14
Tl 0.3746 0.0000 0.7500  9 Zr 2.93-3.14
Tl 0.3746 0.3746 0.2500  9 Zr 2.93-3.14
Tl 0.6254 0.0000 0.2500  9 Zr 2.93-3.14
Tl 0.6254 0.6254 0.7500  9 Zr 2.93-3.14

Entry 11:
Zr3Tl: relaxed, PBEsol.

a b c (Å): 3.2828 4.0226 6.6178
angles (deg): 90.00 90.00 90.00
Closest atoms and distances in Å follow each position.
Element x y z (fractional)
Zr 0.0000 0.0000 0.0000  10 Zr 3.08-3.28, 2 Tl 3.31
Zr 0.5000 0.5000 0.2515  4 Tl 3.07, 8 Zr 3.08-3.33
Zr 0.5000 0.5000 0.7485  4 Tl 3.07, 8 Zr 3.08-3.33
Tl 0.0000 0.0000 0.5000  10 Zr 3.07-3.31, 2 Tl 3.28

Entry 12:
Zr3Tl: relaxed, PBEsol.

a b c (Å): 3.1361 5.1723 5.4119
angles (deg): 90.00 90.00 90.00
Closest atoms and distances in Å follow each position.
Element x y z (fractional)
Zr 0.0000 0.0000 0.0000  4 Tl 3.08-3.17, 8 Zr 3.12-3.23
Zr 0.0000 0.5000 0.3577  8 Zr 3.12-3.23, 4 Tl 3.13
Zr 0.5000 0.5000 0.8592  10 Zr 3.12-3.14, 2 Tl 3.21
Tl 0.5000 0.0000 0.5093  10 Zr 3.08-3.21, 2 Tl 3.14

Number 1: formation energy -0.0986 eV per atom, magnetic moment 0.0 μB per cell, Fermi-level density of states 1.28 states/eV/atom. Number 2: formation energy -0.0919 eV per atom, magnetic moment 0.0 μB per cell, Fermi-level density of states 0.87 states/eV/atom. Number 3: formation energy 1.1786 eV per atom, magnetic moment 0.0 μB per cell, Fermi-level density of states 1.35 states/eV/atom. Number 4: formation energy -0.1852 eV per atom, magnetic moment 0.0 μB per cell, Fermi-level density of states 0.82 states/eV/atom. Number 5: formation energy -0.0316 eV per atom, magnetic moment 0.0 μB per cell, Fermi-level density of states 1.28 states/eV/atom. Number 6: formation energy -0.0300 eV per atom, magnetic moment 0.0 μB per cell, Fermi-level density of states 1.36 states/eV/atom. Number 7: formation energy -0.0711 eV per atom, magnetic moment 0.0 μB per cell, Fermi-level density of states 0.83 states/eV/atom. Number 8: formation energy -0.1402 eV per atom, magnetic moment 0.0 μB per cell, Fermi-level density of states 0.55 states/eV/atom. Number 9: formation energy -0.0958 eV per atom, magnetic moment 0.0 μB per cell, Fermi-level density of states 0.58 states/eV/atom. Number 10: formation energy -0.1703 eV per atom, magnetic moment 0.0 μB per cell, Fermi-level density of states 1.32 states/eV/atom. Number 11: formation energy -0.1160 eV per atom, magnetic moment 0.0 μB per cell, Fermi-level density of states 1.19 states/eV/atom. Number 12: formation energy -0.0683 eV per atom, magnetic moment 0.0 μB per cell, Fermi-level density of states 0.95 states/eV/atom.